[1]
EuCdSn | GGA-PBE | optimized geometry

CIF file:
```
data_EuCdSn
_chemical_formula_sum 'Eu1 Cd1 Sn1'
_symmetry_space_group_name_H-M 'P -6 m 2'
_symmetry_Int_Tables_number 187
_symmetry_space_group_name_Hall 'P -6 2'
_cell_length_a 5.0376
_cell_length_b 5.0376
_cell_length_c 3.7697
_cell_angle_alpha 90.00
_cell_angle_beta 90.00
_cell_angle_gamma 120.00
loop_
_atom_site_label
_atom_site_type_symbol
_atom_site_fract_x
_atom_site_fract_y
_atom_site_fract_z
Eu1 Eu 0.0000 0.0000 0.0000
Cd1 Cd 0.3333 0.6667 0.5000
Sn1 Sn 0.6667 0.3333 0.5000
```

[2]
EuThCdSn | GGA-PBE | optimized geometry

CIF file:
```
data_EuThCdSn
_chemical_formula_sum 'Eu4 Th4 Cd4 Sn4'
_symmetry_space_group_name_H-M 'F -4 3 m'
_symmetry_Int_Tables_number 216
_symmetry_space_group_name_Hall 'F -4 2 3'
_cell_length_a 7.747
_cell_length_b 7.747
_cell_length_c 7.747
_cell_angle_alpha 90.00
_cell_angle_beta 90.00
_cell_angle_gamma 90.00
loop_
_atom_site_label
_atom_site_type_symbol
_atom_site_fract_x
_atom_site_fract_y
_atom_site_fract_z
Eu1 Eu 0.000 0.000 0.000
Th1 Th 0.000 0.000 0.500
Cd1 Cd 0.250 0.250 0.250
Sn1 Sn 0.250 0.250 0.750
```

[3]
EuTlCdSn | GGA-PBE | optimized geometry

CIF file:
```
data_EuTlCdSn
_chemical_formula_sum 'Eu4 Tl4 Cd4 Sn4'
_symmetry_space_group_name_H-M 'F -4 3 m'
_symmetry_Int_Tables_number 216
_symmetry_space_group_name_Hall 'F -4 2 3'
_cell_length_a 7.659
_cell_length_b 7.659
_cell_length_c 7.659
_cell_angle_alpha 90.00
_cell_angle_beta 90.00
_cell_angle_gamma 90.00
loop_
_atom_site_label
_atom_site_type_symbol
_atom_site_fract_x
_atom_site_fract_y
_atom_site_fract_z
Eu1 Eu 0.000 0.000 0.000
Tl1 Tl 0.250 0.250 0.750
Cd1 Cd 0.000 0.000 0.500
Sn1 Sn 0.250 0.250 0.250
```

[4]
EuTmCdSn | GGA-PBE | optimized geometry

CIF file:
```
data_EuTmCdSn
_chemical_formula_sum 'Eu4 Tm4 Cd4 Sn4'
_symmetry_space_group_name_H-M 'F -4 3 m'
_symmetry_Int_Tables_number 216
_symmetry_space_group_name_Hall 'F -4 2 3'
_cell_length_a 7.605
_cell_length_b 7.605
_cell_length_c 7.605
_cell_angle_alpha 90.00
_cell_angle_beta 90.00
_cell_angle_gamma 90.00
loop_
_atom_site_label
_atom_site_type_symbol
_atom_site_fract_x
_atom_site_fract_y
_atom_site_fract_z
Eu1 Eu 0.000 0.000 0.000
Tm1 Tm 0.000 0.000 0.500
Cd1 Cd 0.250 0.250 0.750
Sn1 Sn 0.250 0.250 0.250
```

[5]
EuYCdSn | GGA-PBE | optimized geometry

CIF file:
```
data_EuYCdSn
_chemical_formula_sum 'Eu4 Y4 Cd4 Sn4'
_symmetry_space_group_name_H-M 'F -4 3 m'
_symmetry_Int_Tables_number 216
_symmetry_space_group_name_Hall 'F -4 2 3'
_cell_length_a 7.655
_cell_length_b 7.655
_cell_length_c 7.655
_cell_angle_alpha 90.00
_cell_angle_beta 90.00
_cell_angle_gamma 90.00
loop_
_atom_site_label
_atom_site_type_symbol
_atom_site_fract_x
_atom_site_fract_y
_atom_site_fract_z
Eu1 Eu 0.000 0.000 0.000
Y1 Y 0.000 0.000 0.500
Cd1 Cd 0.250 0.250 0.250
Sn1 Sn 0.250 0.250 0.750
```

[6]
EuZnCdSn | GGA-PBE | optimized geometry

CIF file:
```
data_EuZnCdSn
_chemical_formula_sum 'Eu4 Zn4 Cd4 Sn4'
_symmetry_space_group_name_H-M 'F -4 3 m'
_symmetry_Int_Tables_number 216
_symmetry_space_group_name_Hall 'F -4 2 3'
_cell_length_a 7.333
_cell_length_b 7.333
_cell_length_c 7.333
_cell_angle_alpha 90.00
_cell_angle_beta 90.00
_cell_angle_gamma 90.00
loop_
_atom_site_label
_atom_site_type_symbol
_atom_site_fract_x
_atom_site_fract_y
_atom_site_fract_z
Eu1 Eu 0.000 0.000 0.000
Zn1 Zn 0.250 0.250 0.750
Cd1 Cd 0.000 0.000 0.500
Sn1 Sn 0.250 0.250 0.250
```

[7]
# Sr2EuCd (GGA-PBE, optimized geometry)
data_Sr2EuCd
_chemical_formula_sum 'Sr6 Eu3 Cd3'
_symmetry_space_group_name_H-M 'R -3 m'
_symmetry_Int_Tables_number 166
_symmetry_space_group_name_Hall '-R 3 2"'
_cell_length_a 4.0625
_cell_length_b 4.0625
_cell_length_c 40.5682
_cell_angle_alpha 90.00
_cell_angle_beta 90.00
_cell_angle_gamma 120.00
loop_
_atom_site_label
_atom_site_type_symbol
_atom_site_fract_x
_atom_site_fract_y
_atom_site_fract_z
Sr1 Sr 0.0000 0.0000 0.0844
Eu1 Eu 0.0000 0.0000 0.5000
Cd1 Cd 0.0000 0.0000 0.0000
# Distance to the lowest polymorph of the same formula: 0.312 eV per atom

[8]
# Sr2EuCd (GGA-PBE, optimized geometry)
data_Sr2EuCd
_chemical_formula_sum 'Sr2 Eu1 Cd1'
_symmetry_space_group_name_H-M 'P 4/m m m'
_symmetry_Int_Tables_number 123
_symmetry_space_group_name_Hall '-P 4 2'
_cell_length_a 5.778
_cell_length_b 5.778
_cell_length_c 4.800
_cell_angle_alpha 90.00
_cell_angle_beta 90.00
_cell_angle_gamma 90.00
loop_
_atom_site_label
_atom_site_type_symbol
_atom_site_fract_x
_atom_site_fract_y
_atom_site_fract_z
Sr1 Sr 0.000 0.500 0.000
Eu1 Eu 0.000 0.000 0.500
Cd1 Cd 0.500 0.500 0.500
# Distance to the lowest polymorph of the same formula: 0.077 eV per atom

[9]
# Sr2EuCd (GGA-PBE, optimized geometry)
data_Sr2EuCd
_chemical_formula_sum 'Sr2 Eu1 Cd1'
_symmetry_space_group_name_H-M 'P 4/m m m'
_symmetry_Int_Tables_number 123
_symmetry_space_group_name_Hall '-P 4 2'
_cell_length_a 4.061
_cell_length_b 4.061
_cell_length_c 10.189
_cell_angle_alpha 90.00
_cell_angle_beta 90.00
_cell_angle_gamma 90.00
loop_
_atom_site_label
_atom_site_type_symbol
_atom_site_fract_x
_atom_site_fract_y
_atom_site_fract_z
Sr1 Sr 0.000 0.000 0.196
Eu1 Eu 0.500 0.500 0.500
Cd1 Cd 0.500 0.500 0.000
# Distance to the lowest polymorph of the same formula: 0.000 eV per atom

[10]
# Sr2EuCd (GGA-PBE, optimized geometry)
data_Sr2EuCd
_chemical_formula_sum 'Sr8 Eu4 Cd4'
_symmetry_space_group_name_H-M 'F m -3 m'
_symmetry_Int_Tables_number 225
_symmetry_space_group_name_Hall '-F 4 2 3'
_cell_length_a 8.587
_cell_length_b 8.587
_cell_length_c 8.587
_cell_angle_alpha 90.00
_cell_angle_beta 90.00
_cell_angle_gamma 90.00
loop_
_atom_site_label
_atom_site_type_symbol
_atom_site_fract_x
_atom_site_fract_y
_atom_site_fract_z
Sr1 Sr 0.250 0.250 0.250
Eu1 Eu 0.000 0.000 0.000
Cd1 Cd 0.000 0.000 0.500
# Distance to the lowest polymorph of the same formula: 0.112 eV per atom

[11]
SrEuTlCd | GGA-PBE | optimized geometry

CIF file:
```
data_SrEuTlCd
_chemical_formula_sum 'Sr4 Eu4 Tl4 Cd4'
_symmetry_space_group_name_H-M 'F -4 3 m'
_symmetry_Int_Tables_number 216
_symmetry_space_group_name_Hall 'F -4 2 3'
_cell_length_a 8.040
_cell_length_b 8.040
_cell_length_c 8.040
_cell_angle_alpha 90.00
_cell_angle_beta 90.00
_cell_angle_gamma 90.00
loop_
_atom_site_label
_atom_site_type_symbol
_atom_site_fract_x
_atom_site_fract_y
_atom_site_fract_z
Sr1 Sr 0.000 0.000 0.000
Eu1 Eu 0.000 0.000 0.500
Tl1 Tl 0.250 0.250 0.250
Cd1 Cd 0.250 0.250 0.750
```

[12]
SrEuZnCd | GGA-PBE | optimized geometry

CIF file:
```
data_SrEuZnCd
_chemical_formula_sum 'Sr4 Eu4 Zn4 Cd4'
_symmetry_space_group_name_H-M 'F -4 3 m'
_symmetry_Int_Tables_number 216
_symmetry_space_group_name_Hall 'F -4 2 3'
_cell_length_a 7.839
_cell_length_b 7.839
_cell_length_c 7.839
_cell_angle_alpha 90.00
_cell_angle_beta 90.00
_cell_angle_gamma 90.00
loop_
_atom_site_label
_atom_site_type_symbol
_atom_site_fract_x
_atom_site_fract_y
_atom_site_fract_z
Sr1 Sr 0.000 0.000 0.000
Eu1 Eu 0.000 0.000 0.500
Zn1 Zn 0.250 0.250 0.250
Cd1 Cd 0.250 0.250 0.750
```

[13]
# TbEu2Cd (GGA-PBE, optimized geometry)
data_TbEu2Cd
_chemical_formula_sum 'Tb4 Eu8 Cd4'
_symmetry_space_group_name_H-M 'F m -3 m'
_symmetry_Int_Tables_number 225
_symmetry_space_group_name_Hall '-F 4 2 3'
_cell_length_a 8.042
_cell_length_b 8.042
_cell_length_c 8.042
_cell_angle_alpha 90.00
_cell_angle_beta 90.00
_cell_angle_gamma 90.00
loop_
_atom_site_label
_atom_site_type_symbol
_atom_site_fract_x
_atom_site_fract_y
_atom_site_fract_z
Tb1 Tb 0.000 0.000 0.000
Eu1 Eu 0.250 0.250 0.250
Cd1 Cd 0.000 0.000 0.500
# Distance to the lowest polymorph of the same formula: 0.107 eV per atom

[14]
# TbEuCd (GGA-PBE, optimized geometry)
data_TbEuCd
_chemical_formula_sum 'Tb2 Eu2 Cd2'
_symmetry_space_group_name_H-M 'I 4 m m'
_symmetry_Int_Tables_number 107
_symmetry_space_group_name_Hall 'I 4 -2'
_cell_length_a 3.795
_cell_length_b 3.795
_cell_length_c 13.114
_cell_angle_alpha 90.00
_cell_angle_beta 90.00
_cell_angle_gamma 90.00
loop_
_atom_site_label
_atom_site_type_symbol
_atom_site_fract_x
_atom_site_fract_y
_atom_site_fract_z
Tb1 Tb 0.000 0.000 0.000
Eu1 Eu 0.000 0.000 0.707
Cd1 Cd 0.000 0.000 0.368
# Distance to the lowest polymorph of the same formula: 0.000 eV per atom

[15]
# TbEuCd (GGA-PBE, optimized geometry)
data_TbEuCd
_chemical_formula_sum 'Tb1 Eu1 Cd1'
_symmetry_space_group_name_H-M 'P 3 m 1'
_symmetry_Int_Tables_number 156
_cell_length_a 5.4055
_cell_length_b 5.4055
_cell_length_c 3.5870
_cell_angle_alpha 90.00
_cell_angle_beta 90.00
_cell_angle_gamma 120.00
loop_
_symmetry_equiv_pos_as_xyz
'x,y,z'
'-y,x-y,z'
'-x+y,-x,z'
'-y,-x,z'
'-x+y,y,z'
'x,x-y,z'
loop_
_atom_site_label
_atom_site_type_symbol
_atom_site_fract_x
_atom_site_fract_y
_atom_site_fract_z
Tb1 Tb 0.0000 0.0000 0.0000
Eu1 Eu 0.6667 0.3333 0.5788
Cd1 Cd 0.3333 0.6667 0.2470
# Distance to the lowest polymorph of the same formula: 0.110 eV per atom

[16]
# TbEu2Cd (GGA-PBE, optimized geometry)
data_TbEu2Cd
_chemical_formula_sum 'Tb3 Eu6 Cd3'
_symmetry_space_group_name_H-M 'R -3 m'
_symmetry_Int_Tables_number 166
_symmetry_space_group_name_Hall '-R 3 2"'
_cell_length_a 3.5816
_cell_length_b 3.5816
_cell_length_c 36.8902
_cell_angle_alpha 90.00
_cell_angle_beta 90.00
_cell_angle_gamma 120.00
loop_
_atom_site_label
_atom_site_type_symbol
_atom_site_fract_x
_atom_site_fract_y
_atom_site_fract_z
Tb1 Tb 0.0000 0.0000 0.0000
Eu1 Eu 0.0000 0.0000 0.0935
Cd1 Cd 0.0000 0.0000 0.5000
# Distance to the lowest polymorph of the same formula: 0.228 eV per atom

[17]
# TbEu2Cd (GGA-PBE, optimized geometry)
data_TbEu2Cd
_chemical_formula_sum 'Tb1 Eu2 Cd1'
_symmetry_space_group_name_H-M 'P 4/m m m'
_symmetry_Int_Tables_number 123
_symmetry_space_group_name_Hall '-P 4 2'
_cell_length_a 5.032
_cell_length_b 5.032
_cell_length_c 5.077
_cell_angle_alpha 90.00
_cell_angle_beta 90.00
_cell_angle_gamma 90.00
loop_
_atom_site_label
_atom_site_type_symbol
_atom_site_fract_x
_atom_site_fract_y
_atom_site_fract_z
Tb1 Tb 0.000 0.000 0.000
Eu1 Eu 0.000 0.500 0.500
Cd1 Cd 0.500 0.500 0.000
# Distance to the lowest polymorph of the same formula: 0.051 eV per atom

[18]
TbEuCd2 | GGA-PBE | optimized geometry

CIF file:
```
data_TbEuCd2
_chemical_formula_sum 'Tb1 Eu1 Cd2'
_symmetry_space_group_name_H-M 'P 4/m m m'
_symmetry_Int_Tables_number 123
_symmetry_space_group_name_Hall '-P 4 2'
_cell_length_a 3.839
_cell_length_b 3.839
_cell_length_c 7.707
_cell_angle_alpha 90.00
_cell_angle_beta 90.00
_cell_angle_gamma 90.00
loop_
_atom_site_label
_atom_site_type_symbol
_atom_site_fract_x
_atom_site_fract_y
_atom_site_fract_z
Tb1 Tb 0.000 0.000 0.000
Eu1 Eu 0.000 0.000 0.500
Cd1 Cd 0.500 0.500 0.228
```

[19]
# TbEu2Cd (GGA-PBE, optimized geometry)
data_TbEu2Cd
_chemical_formula_sum 'Tb1 Eu2 Cd1'
_symmetry_space_group_name_H-M 'P 4/m m m'
_symmetry_Int_Tables_number 123
_symmetry_space_group_name_Hall '-P 4 2'
_cell_length_a 3.805
_cell_length_b 3.805
_cell_length_c 9.279
_cell_angle_alpha 90.00
_cell_angle_beta 90.00
_cell_angle_gamma 90.00
loop_
_atom_site_label
_atom_site_type_symbol
_atom_site_fract_x
_atom_site_fract_y
_atom_site_fract_z
Tb1 Tb 0.000 0.000 0.000
Eu1 Eu 0.500 0.500 0.280
Cd1 Cd 0.000 0.000 0.500
# Distance to the lowest polymorph of the same formula: 0.000 eV per atom

[20]
TbEuTlCd | GGA-PBE | optimized geometry

CIF file:
```
data_TbEuTlCd
_chemical_formula_sum 'Tb4 Eu4 Tl4 Cd4'
_symmetry_space_group_name_H-M 'F -4 3 m'
_symmetry_Int_Tables_number 216
_symmetry_space_group_name_Hall 'F -4 2 3'
_cell_length_a 7.729
_cell_length_b 7.729
_cell_length_c 7.729
_cell_angle_alpha 90.00
_cell_angle_beta 90.00
_cell_angle_gamma 90.00
loop_
_atom_site_label
_atom_site_type_symbol
_atom_site_fract_x
_atom_site_fract_y
_atom_site_fract_z
Tb1 Tb 0.000 0.000 0.000
Eu1 Eu 0.000 0.000 0.500
Tl1 Tl 0.250 0.250 0.250
Cd1 Cd 0.250 0.250 0.750
```

no.,energy relative to the elements (eV per atom)
1,-0.486
2,-0.341
3,-0.275
4,-0.477
5,-0.519
6,-0.288
7,0.176
8,-0.059
9,-0.136
10,-0.024
11,-0.387
12,-0.265
13,0.018
14,-0.167
15,-0.057
16,0.139
17,-0.038
18,-0.331
19,-0.089
20,-0.353